VASP calculation (GGA-PBE) on crystalline MnAl2Co at its relaxed geometry.

Cell: 4.185 4.185 4.185 Å, 60.00 60.00 60.00°
Site moments in Bohr magnetons follow the coordinates.
Fractional positions:
Co 0.500 0.500 0.500  1.12
Al 0.000 0.000 0.000  -0.01
Al 0.250 0.250 0.250  -0.03
Mn 0.750 0.750 0.750  2.94

Properties
* ΔH_f (0 K): -231 meV/atom
* uncorrected energy: -6.172 eV/atom
* D(E_F): 0.707 states/eV/cell
* crystal system: cubic